Entry 1:
A plane-wave DFT calculation with PBE was carried out for a relaxed structure of AcCeAgRh.

Computed properties:
Total moment, μB per atom: 0.233
Raw total energy, eV per atom: -5.380

Geometry as POSCAR:
```
AcCeAgRh
1.0
5.255 0.000 0.000
2.628 4.551 0.000
2.628 1.517 4.291
Ac Rh Ag Ce
1 1 1 1
Direct
0.000 0.000 0.000
0.750 0.750 0.750
0.250 0.250 0.250
0.500 0.500 0.500
```

Entry 2:
A plane-wave DFT calculation with PBE was carried out for a relaxed structure of Sr3MgNi.

Computed properties:
Total moment, μB per atom: 0.000
Raw total energy, eV per atom: -2.455

Geometry as POSCAR:
```
Sr3MgNi
1.0
-4.774 -2.886 -1.551
3.221 -4.636 -1.288
-0.600 -1.925 5.428
Sr Mg Ni
3 1 1
Direct
0.000 0.500 0.000
0.000 0.000 0.500
0.500 0.000 0.000
0.500 0.500 0.500
0.000 0.000 0.000
```

Entry 3:
A plane-wave DFT calculation with PBE was carried out for a relaxed structure of Li2NiP.

Computed properties:
Total moment, μB per atom: 0.000
Raw total energy, eV per atom: -3.892

Geometry as POSCAR:
```
Li2NiP
1.0
8.597 0.007 0.004
8.112 2.845 0.004
8.112 1.385 2.486
Li Ni P
2 1 1
Direct
0.013 0.013 0.013
0.240 0.240 0.240
0.486 0.486 0.486
0.762 0.762 0.762
```

- What is the formula in the third record?
  Li2NiP